A relaxed TbMg2In crystal, computed with PBE.

Geometry as POSCAR:
```
TbMg2In
1.0
4.8268 0.0000 0.0000
0.0000 4.5215 0.0000
0.0000 0.0000 4.5215
Mg Tb In
2 1 1
Cartesian
0.0000 0.0000 2.2608
0.0000 2.2608 0.0000
2.4134 2.2608 2.2608
2.4134 0.0000 0.0000
```

Computed properties:
Crystal system: tetragonal
Calculated volume in A^3/atom: 24.7
Energy in eV per formula unit: -11.694
Formation enthalpy at 0 K in meV/atom: -284
Excess energy over the best structure of this formula in the dataset in eV/f.u.: 0.00



A relaxed BeCoHg2 crystal, computed with PBE.

Geometry as POSCAR:
```
BeCoHg2
1.0
-2.0749 2.7031 2.9203
-3.6552 2.5715 0.4078
-3.3860 -3.3446 2.3048
Be Co Hg
1 1 2
Cartesian
-6.8371 1.4475 4.2247
-2.2790 0.4825 1.4082
-3.4062 -3.2896 2.3146
-4.5379 0.9099 2.8066
```

Computed properties:
Crystal system: monoclinic
Calculated volume in A^3/atom: 16.3
Energy in eV per formula unit: -9.082
Formation enthalpy at 0 K in meV/atom: 588



A relaxed LaHo3Tl4Te8 crystal, computed with PBE.

Geometry as POSCAR:
```
LaHo3Tl4Te8
1.0
-6.2840 2.5259 5.9114
-5.3090 -7.7602 -2.3278
8.4483 -1.3930 2.7407
La Ho Tl Te
1 3 4 8
Cartesian
-2.6545 -3.8801 -1.1639
-5.7965 -2.6171 1.7918
-1.5724 -3.3136 3.1621
1.5697 -4.5766 0.2064
-3.1420 1.2629 2.9557
1.0821 0.5665 4.3260
0.0000 0.0000 0.0000
4.2241 -0.6965 1.3703
2.8745 -6.2904 2.4401
-1.2083 -5.6170 1.1157
1.2561 -2.3132 2.3237
-0.1625 -5.0697 5.2970
-2.9822 -1.5575 1.0273
-4.4008 -4.3140 4.0006
-1.9365 -1.0103 5.2086
-6.0192 -0.3368 3.8841
```

Computed properties:
Crystal system: trigonal
Calculated volume in A^3/atom: 35.8
Energy relative to the elements, uncorrected in eV per atom: -1.0692
Energy in eV per formula unit: -70.366



A relaxed ZrTlZn2 crystal, computed with PBE.

Geometry as POSCAR:
```
ZrTlZn2
1.0
-5.0592 -0.5855 8.2578
-2.9786 -2.9083 8.7635
-2.2087 0.0784 9.4469
Tl Zn Zr
1 2 1
Cartesian
-7.6407 -2.5468 19.7368
-10.1633 -3.3876 26.2531
-2.6202 -0.8734 6.7682
-5.1922 -1.7307 13.4122
```

Computed properties:
Crystal system: trigonal
Calculated volume in A^3/atom: 20.6
Energy in eV per formula unit: -12.927
Formation enthalpy at 0 K in meV/atom: 134
Excess energy over the best structure of this formula in the dataset in eV/f.u.: 1.12



A relaxed PmNpPdRh crystal, computed with PBE.

Geometry as POSCAR:
```
PmNpPdRh
1.0
-1.8955 2.2506 -3.9924
-4.5136 2.0442 0.2148
-0.4930 4.9346 -0.0647
Np Rh Pd Pm
1 1 1 1
Cartesian
-5.1766 6.9221 -2.8818
-3.4511 4.6147 -1.9212
0.0000 0.0000 0.0000
-1.7255 2.3074 -0.9606
```

Computed properties:
Crystal system: cubic
Calculated volume in A^3/atom: 21.6
Energy in eV per formula unit: -31.710
Formation enthalpy at 0 K in meV/atom: -369



A relaxed Ho6TmAl2 crystal, computed with PBE.

Geometry as POSCAR:
```
Ho6TmAl2
1.0
-3.5689 0.0602 3.1395
-2.5212 -2.8881 -2.8106
8.4665 -9.5207 6.2084
Ho Tm Al
6 1 2
Cartesian
-2.1844 -2.9431 2.9529
2.7949 -9.3757 5.1378
-1.6660 -4.4020 0.0086
5.8084 -7.9764 4.9751
0.9263 -5.4372 4.7561
1.4501 -6.9114 1.7811
-3.0450 -1.4139 0.1644
2.0111 -4.0561 2.3639
0.3654 -8.2925 4.1733
```

Computed properties:
Crystal system: tetragonal
Calculated volume in A^3/atom: 34.6
Energy in eV per formula unit: -34.570
Formation enthalpy at 0 K in meV/atom: 539
Excess energy over the best structure of this formula in the dataset in eV/f.u.: 6.38



A relaxed TaRe2IrW crystal, computed with PBE.

Geometry as POSCAR:
```
TaRe2IrW
1.0
-3.5206 -2.9305 0.9889
0.9854 0.3404 4.5170
-2.9280 3.6406 0.3644
Re Ir W Ta
2 1 1 1
Cartesian
-1.4640 1.8203 0.1822
-1.7603 -1.4652 0.4944
0.4927 0.1702 2.2585
-2.7316 0.5252 2.9352
0.0000 0.0000 0.0000
```

Computed properties:
Crystal system: tetragonal
Calculated volume in A^3/atom: 20.4
Energy in eV per formula unit: -46.447
Formation enthalpy at 0 K in meV/atom: 2423



A relaxed GaBr2Cl crystal, computed with PBE.

Geometry as POSCAR:
```
GaBr2Cl
1.0
2.1633 0.0000 9.7733
-1.0817 1.8735 9.7733
-1.0817 -1.8735 9.7733
Ga Br Cl
1 2 1
Cartesian
0.0000 0.0000 14.6600
0.0000 0.0000 26.0681
0.0000 0.0000 3.2518
0.0000 0.0000 0.0000
```

Computed properties:
Crystal system: trigonal
Calculated volume in A^3/atom: 29.7
Energy relative to the elements, uncorrected in eV per atom: -0.1817
Energy in eV per formula unit: -8.946
Excess energy over the best structure of this formula in the dataset in eV/f.u.: 2.91



A relaxed LaPm5Ag4 crystal, computed with PBE.

Geometry as POSCAR:
```
LaPm5Ag4
1.0
3.7195 0.0000 0.0000
0.0000 3.7195 0.0000
0.0000 0.0000 20.1549
La Pm Ag
1 5 4
Cartesian
0.0000 0.0000 0.0000
1.8598 1.8598 2.5772
1.8598 1.8598 6.3085
1.8598 1.8598 10.0775
1.8598 1.8598 13.8464
1.8598 1.8598 17.5777
0.0000 0.0000 4.4452
0.0000 0.0000 8.2008
0.0000 0.0000 11.9541
0.0000 0.0000 15.7097
```

Computed properties:
Crystal system: tetragonal
Calculated volume in A^3/atom: 27.9
Energy in eV per formula unit: -42.168
Formation enthalpy at 0 K in meV/atom: -208



A relaxed KSeBr3 crystal, computed with PBE.

Geometry as POSCAR:
```
KSeBr3
1.0
-0.3508 -1.3743 7.8914
6.1389 -4.6554 -0.5379
6.2200 9.7480 1.9741
K Se Br
4 4 12
Cartesian
3.9287 -1.9751 6.5286
8.0794 5.6933 2.7991
4.9188 0.6209 2.9515
7.0893 3.0974 6.3762
9.5670 0.8022 1.5763
2.4411 2.9161 7.7513
5.6394 8.1360 6.7522
6.3687 -4.4177 2.5755
6.6922 -1.5349 0.8702
5.3160 5.2531 8.4575
2.3090 0.7828 5.1522
9.6991 2.9354 4.1755
6.7932 -0.2476 5.7917
5.2150 3.9659 3.5360
2.1546 -0.7135 1.4312
9.8535 4.4317 7.8965
7.7128 2.4072 1.3100
4.2954 1.3110 8.0177
7.5336 6.6873 6.1206
4.4745 -2.9690 3.2071
```

Computed properties:
Crystal system: monoclinic
Calculated volume in A^3/atom: 36.2
Energy relative to the elements, uncorrected in eV per atom: -0.6022
Energy in eV per formula unit: -12.611



A relaxed K2MgH2Cl2 crystal, computed with PBE.

Geometry as POSCAR:
```
K2MgH2Cl2
1.0
4.2855 0.0000 0.0000
0.0000 4.2855 0.0000
-2.1428 -2.1428 7.9064
K Mg H Cl
2 1 2 2
Cartesian
0.0000 0.0000 5.8246
2.1428 2.1428 2.0819
0.0000 0.0000 0.0000
0.0000 2.1428 0.0000
2.1428 0.0000 0.0000
0.0000 0.0000 2.5221
2.1428 2.1428 5.3843
```

Computed properties:
Crystal system: tetragonal
Calculated volume in A^3/atom: 20.7
Energy in eV per formula unit: -22.065



A relaxed MgTc2TeP crystal, computed with PBE.

Geometry as POSCAR:
```
MgTc2TeP
1.0
-3.4381 3.2037 1.4418
0.9366 -1.1974 4.8939
3.3964 3.5469 0.2178
P Mg Te Tc
1 1 1 2
Cartesian
0.4683 -0.5987 2.4470
0.4475 2.7766 3.2768
0.0000 0.0000 0.0000
1.6982 1.7734 0.1089
-1.7190 1.6019 0.7209
```

Computed properties:
Crystal system: tetragonal
Calculated volume in A^3/atom: 24.8
Energy relative to the elements, uncorrected in eV per atom: 1.5026
Energy in eV per formula unit: -23.365